(1)
The following is a PBE calculation of a relaxed AlAuN2 crystal, from the Alexandria database.

Values from the calculation:
ΔE_f (raw) ... 3.6 eV/f.u.
ρ ... 7.64 g/cm3
Crystal system ... trigonal
Final energy ... -5.019 eV per atom

```
data_AlAuN2
_chemical_formula_sum 'Al1 Au1 N2'
_cell_length_a 6.111
_cell_length_b 6.111
_cell_length_c 6.111
_cell_angle_alpha 31.34
_cell_angle_beta 31.34
_cell_angle_gamma 31.34
_symmetry_space_group_name_H-M 'P 1'
_symmetry_Int_Tables_number 1
_symmetry_space_group_name_Hall 'P 1'
loop_
_atom_site_label
_atom_site_fract_x
_atom_site_fract_y
_atom_site_fract_z
N1 0.893 0.893 0.893
N2 0.107 0.107 0.107
Au1 0.500 0.500 0.500
Al1 0.000 0.000 0.000
```

(2)
The following is a PBE calculation of a relaxed AlAuN2 crystal, from the Alexandria database.

Values from the calculation:
ΔE_f (raw) ... 0.8 eV/f.u.
ρ ... 8.96 g/cm3
Crystal system ... trigonal
Final energy ... -5.721 eV per atom

```
data_AlAuN2
_chemical_formula_sum 'Al1 Au1 N2'
_cell_length_a 6.364
_cell_length_b 6.364
_cell_length_c 6.364
_cell_angle_alpha 26.94
_cell_angle_beta 26.94
_cell_angle_gamma 26.94
_symmetry_space_group_name_H-M 'P 1'
_symmetry_Int_Tables_number 1
_symmetry_space_group_name_Hall 'P 1'
loop_
_atom_site_label
_atom_site_fract_x
_atom_site_fract_y
_atom_site_fract_z
N1 0.891 0.891 0.891
N2 0.109 0.109 0.109
Au1 0.000 0.000 0.000
Al1 0.500 0.500 0.500
```

(3)
The following is a PBE calculation of a relaxed AlAuN2 crystal, from the Alexandria database.

Values from the calculation:
ΔE_f (raw) ... 1.0 eV/f.u.
ρ ... 8.20 g/cm3
Crystal system ... tetragonal
Final energy ... -5.662 eV per atom

```
data_AlAuN2
_chemical_formula_sum 'Al2 Au2 N4'
_cell_length_a 4.849
_cell_length_b 4.849
_cell_length_c 5.530
_cell_angle_alpha 64.00
_cell_angle_beta 64.00
_cell_angle_gamma 90.00
_symmetry_space_group_name_H-M 'P 1'
_symmetry_Int_Tables_number 1
_symmetry_space_group_name_Hall 'P 1'
loop_
_atom_site_label
_atom_site_fract_x
_atom_site_fract_y
_atom_site_fract_z
N1 0.875 0.820 0.750
N2 0.180 0.625 0.250
N3 0.375 0.430 0.750
Au1 0.000 0.000 0.000
Al1 0.250 0.750 0.500
Al2 0.500 0.500 0.000
Au2 0.750 0.250 0.500
N4 0.570 0.125 0.250
```

(4)
The following is a PBE calculation of a relaxed NbAlAuN2 crystal, from the Alexandria database.

Values from the calculation:
ΔE_f (raw) ... 4.3 eV/f.u.
ρ ... 8.06 g/cm3
Crystal system ... tetragonal
Final energy ... -5.896 eV per atom

```
data_NbAlAuN2
_chemical_formula_sum 'Nb1 Al1 Au1 N2'
_cell_length_a 3.835
_cell_length_b 4.831
_cell_length_c 3.835
_cell_angle_alpha 90.00
_cell_angle_beta 90.00
_cell_angle_gamma 90.00
_symmetry_space_group_name_H-M 'P 1'
_symmetry_Int_Tables_number 1
_symmetry_space_group_name_Hall 'P 1'
loop_
_atom_site_label
_atom_site_fract_x
_atom_site_fract_y
_atom_site_fract_z
Al1 0.000 0.000 0.000
Nb1 0.500 0.500 0.500
Au1 0.000 0.500 0.000
N1 0.500 0.000 0.000
N2 0.000 0.000 0.500
```

(5)
The following is a PBE calculation of a relaxed AlAuN2O crystal, from the Alexandria database.

Values from the calculation:
ΔE_f (raw) ... 2.8 eV/f.u.
ρ ... 8.08 g/cm3
Crystal system ... tetragonal
Final energy ... -5.167 eV per atom

```
data_AlAuN2O
_chemical_formula_sum 'Al1 Au1 N2 O1'
_cell_length_a 3.906
_cell_length_b 3.906
_cell_length_c 3.611
_cell_angle_alpha 90.00
_cell_angle_beta 90.00
_cell_angle_gamma 90.00
_symmetry_space_group_name_H-M 'P 1'
_symmetry_Int_Tables_number 1
_symmetry_space_group_name_Hall 'P 1'
loop_
_atom_site_label
_atom_site_fract_x
_atom_site_fract_y
_atom_site_fract_z
N1 0.500 0.000 0.000
O1 0.000 0.000 0.500
Au1 0.500 0.500 0.500
Al1 0.000 0.000 0.000
N2 0.000 0.500 0.000
```

(6)
The following is a PBE calculation of a relaxed AlAuN2O crystal, from the Alexandria database.

Values from the calculation:
ΔE_f (raw) ... 7.6 eV/f.u.
ρ ... 6.70 g/cm3
Crystal system ... tetragonal
Final energy ... -4.203 eV per atom

```
data_AlAuN2O
_chemical_formula_sum 'Al1 Au1 N2 O1'
_cell_length_a 4.033
_cell_length_b 4.033
_cell_length_c 4.080
_cell_angle_alpha 90.00
_cell_angle_beta 90.00
_cell_angle_gamma 90.00
_symmetry_space_group_name_H-M 'P 1'
_symmetry_Int_Tables_number 1
_symmetry_space_group_name_Hall 'P 1'
loop_
_atom_site_label
_atom_site_fract_x
_atom_site_fract_y
_atom_site_fract_z
Al1 0.500 0.500 0.500
Au1 0.000 0.000 0.000
O1 0.000 0.000 0.500
N1 0.000 0.500 0.000
N2 0.500 0.000 0.000
```

(7)
The following is a PBE calculation of a relaxed AlOsAuN2 crystal, from the Alexandria database.

Values from the calculation:
ΔE_f (raw) ... 7.7 eV/f.u.
ρ ... 9.95 g/cm3
Crystal system ... tetragonal
Final energy ... -5.442 eV per atom

```
data_AlOsAuN2
_chemical_formula_sum 'Al1 Os1 Au1 N2'
_cell_length_a 3.748
_cell_length_b 5.255
_cell_length_c 3.748
_cell_angle_alpha 90.00
_cell_angle_beta 90.00
_cell_angle_gamma 90.00
_symmetry_space_group_name_H-M 'P 1'
_symmetry_Int_Tables_number 1
_symmetry_space_group_name_Hall 'P 1'
loop_
_atom_site_label
_atom_site_fract_x
_atom_site_fract_y
_atom_site_fract_z
Au1 0.500 0.500 0.500
N1 0.500 0.000 0.000
Os1 0.000 0.500 0.000
Al1 0.000 0.000 0.000
N2 0.000 0.000 0.500
```

(8)
The following is a PBE calculation of a relaxed PaAlAuN crystal, from the Alexandria database.

Values from the calculation:
ΔE_f (raw) ... -4.1 eV/f.u.
ρ ... 11.07 g/cm3
Crystal system ... tetragonal
Final energy ... -7.243 eV per atom

```
data_PaAlAuN
_chemical_formula_sum 'Pa2 Al2 Au2 N2'
_cell_length_a 4.106
_cell_length_b 4.106
_cell_length_c 8.343
_cell_angle_alpha 90.00
_cell_angle_beta 90.00
_cell_angle_gamma 90.00
_symmetry_space_group_name_H-M 'P 1'
_symmetry_Int_Tables_number 1
_symmetry_space_group_name_Hall 'P 1'
loop_
_atom_site_label
_atom_site_fract_x
_atom_site_fract_y
_atom_site_fract_z
Al1 0.000 0.000 0.500
Pa1 0.000 0.500 0.871
Au1 0.500 0.000 0.685
Al2 0.500 0.500 0.500
Pa2 0.500 0.000 0.129
Au2 0.000 0.500 0.315
N1 0.500 0.500 0.000
N2 0.000 0.000 0.000
```